# meta-GGA SCAN YScTl2, PBEsol geometry
# Calculated volume in Å³/cell: 96.20
# Total magnetic moment in μB per cell: 0.5
# Uncorrected energy in Ha/atom: -1.735
# Calculated formation energy in eV/atom: -0.511
# Symmetry: Cmmm (65)
data_YScTl2
_cell_length_a 5.374
_cell_length_b 5.374
_cell_length_c 3.406
_cell_angle_alpha 90.00
_cell_angle_beta 90.00
_cell_angle_gamma 102.05
_symmetry_space_group_name_H-M 'P 1'
_symmetry_Int_Tables_number 1
_symmetry_space_group_name_Hall 'P 1'
loop_
_atom_site_label
_atom_site_fract_x
_atom_site_fract_y
_atom_site_fract_z
_atom_site_occupancy
Y1 0.000 0.000 0.000 1
Sc1 0.500 0.500 0.000 1
Tl1 0.000 0.500 0.500 1
Tl2 0.500 0.000 0.500 1

***

# meta-GGA SCAN AlNi2Sb, PBEsol geometry
# Calculated volume in Å³/cell: 55.28
# Total magnetic moment in μB per cell: 0.0
# Distance to the lowest polymorph of the same formula in eV per atom: 0.040
# Formation energy from raw total energies in kcal/mol of atoms: -4.0
# Uncorrected energy in Ha/atom: -0.717
# Symmetry: I4/mmm (139)
data_AlNi2Sb
_cell_length_a 4.335
_cell_length_b 4.335
_cell_length_c 4.335
_cell_angle_alpha 122.47
_cell_angle_beta 122.47
_cell_angle_gamma 85.77
_symmetry_space_group_name_H-M 'P 1'
_symmetry_Int_Tables_number 1
_symmetry_space_group_name_Hall 'P 1'
loop_
_atom_site_label
_atom_site_fract_x
_atom_site_fract_y
_atom_site_fract_z
_atom_site_occupancy
Al1 0.000 0.000 0.000 1
Ni1 0.250 0.750 0.500 1
Ni2 0.750 0.250 0.500 1
Sb1 0.500 0.500 0.000 1

***

# meta-GGA SCAN ScMnCr, PBEsol geometry
# Calculated volume in Å³/cell: 49.35
# Total magnetic moment in μB per cell: 0.3
# Distance to the lowest polymorph of the same formula in eV per atom: 0.376
# Uncorrected energy in Ha/atom: -0.607
# Calculated formation energy in eV/atom: 0.430
# Symmetry: F-43m (216)
data_ScMnCr
_cell_length_a 4.117
_cell_length_b 4.117
_cell_length_c 4.117
_cell_angle_alpha 60.00
_cell_angle_beta 60.00
_cell_angle_gamma 60.00
_symmetry_space_group_name_H-M 'P 1'
_symmetry_Int_Tables_number 1
_symmetry_space_group_name_Hall 'P 1'
loop_
_atom_site_label
_atom_site_fract_x
_atom_site_fract_y
_atom_site_fract_z
_atom_site_occupancy
Sc1 0.000 0.000 0.000 1
Mn1 0.500 0.500 0.500 1
Cr1 0.750 0.750 0.750 1

***

uncorrected energy of number 2 (AlNi2Sb)?
-0.717 Ha/atom

***

The highest total magnetic moment belongs to which entry?
YScTl2

***

The lowest uncorrected energy belongs to which entry?
YScTl2